# HgSbMo2 GGA-PBE optimized geometry
# * V: 20.6 Å³/atom
# * distance to the lowest polymorph of the same formula: 0.17 eV per formula unit
# * DOS(E_F): 1.8 states/eV/cell
# * M_tot: 0.00 μB/cell
# * ΔE_f (raw): 0.310 eV per atom
data_HgSbMo2
_chemical_formula_sum 'Hg1 Sb1 Mo2'
_space_group_name_H-M_alt 'P 1'
_space_group_IT_number 1
_cell_length_a 9.6551
_cell_length_b 9.6551
_cell_length_c 9.6551
_cell_angle_alpha 18.89
_cell_angle_beta 18.89
_cell_angle_gamma 18.89
loop_
_space_group_symop_operation_xyz
'x,y,z'
loop_
_atom_site_label
_atom_site_type_symbol
_atom_site_fract_x
_atom_site_fract_y
_atom_site_fract_z
Hg1 Hg 0.7408 0.7408 0.7408
Mo1 Mo 0.9884 0.9884 0.9884
Mo2 Mo 0.2594 0.2594 0.2594
Sb1 Sb 0.5114 0.5114 0.5114